8
Lattice="-2.395 3.568 -5.899 -6.121 -3.975 0.081 -5.420 1.618 -1.336" Properties=species:S:1:pos:R:3 comment="PBE TaTi2Ga, relaxed" e_form_ev_per_atom=0.2778 pbc="T T T"
Ti -5.512 -1.586 -1.099
Ti -3.585 2.091 -3.932
Ti -11.435 0.911 -6.094
Ti -7.340 1.008 -3.183
Ta 0.000 0.000 0.000
Ta -6.036 2.492 -5.072
Ga -4.258 -0.203 -2.909
Ga -7.899 -1.280 -2.082